# 1
## YFe2B2 (PBE)

Data for crystalline YFe2B2 at its relaxed geometry.

Calculated values
Crystal system ... tetragonal
Space group ... I4/mmm, No. 139

a b c (Å): 5.363 5.363 5.363
angles (deg): 140.67 140.67 56.83
Each line ends with the local moment (μB).
Sites, in units of the cell vectors:
Y1 0.000 0.000 0.000  -0.03
Fe1 0.750 0.250 0.500  0.73
Fe2 0.250 0.750 0.500  0.73
B1 0.659 0.659 0.000  -0.05
B2 0.341 0.341 0.000  -0.05

---

# 2
## YFe6B4 (PBE)

Data for crystalline YFe6B4 at its relaxed geometry.

Calculated values
Crystal system ... monoclinic
Space group ... C2, No. 5

a b c (Å): 5.658 5.964 5.675
angles (deg): 52.66 54.26 80.65
Each line ends with the local moment (μB).
Sites, in units of the cell vectors:
Y1 0.978 0.978 0.044  -0.08
Fe1 0.448 0.759 0.767  1.43
Fe2 0.784 0.474 0.767  1.42
Fe3 0.424 0.580 0.310  1.88
Fe4 0.019 0.519 0.962  1.50
Fe5 0.266 0.110 0.310  1.88
Fe6 0.680 0.180 0.640  1.16
B1 0.569 0.208 0.347  -0.12
B2 0.823 0.822 0.753  -0.11
B3 0.084 0.445 0.347  -0.12
B4 0.424 0.425 0.753  -0.11

---

# 3
## YFe8B2 (PBE)

Data for crystalline YFe8B2 at its relaxed geometry.

Calculated values
Crystal system ... monoclinic
Space group ... C2/m, No. 12

a b c (Å): 4.389 5.906 5.906
angles (deg): 117.37 89.86 89.86
Each line ends with the local moment (μB).
Sites, in units of the cell vectors:
Y1 0.500 0.000 0.000  -0.28
Fe1 0.998 0.055 0.328  1.95
Fe2 0.998 0.328 0.055  1.95
Fe3 0.248 0.484 0.484  1.71
Fe4 0.500 0.284 0.716  2.59
Fe5 0.500 0.716 0.284  2.59
Fe6 0.752 0.516 0.516  1.71
Fe7 0.002 0.672 0.945  1.95
Fe8 0.002 0.945 0.672  1.95
B1 0.000 0.691 0.309  -0.16
B2 0.000 0.309 0.691  -0.16

---

# 4
## Y2FeB (PBE)

Data for crystalline Y2FeB at its relaxed geometry.

Calculated values
Crystal system ... cubic
Distance to the lowest polymorph of the same formula ... 3.51 eV/f.u.
Space group ... F-43m, No. 216

a b c (Å): 4.552 4.552 4.552
angles (deg): 60.00 60.00 60.00
Each line ends with the local moment (μB).
Sites, in units of the cell vectors:
Y1 0.750 0.750 0.750  -0.23
Y2 0.000 0.000 0.000  -0.21
B1 0.250 0.250 0.250  0.00
Fe1 0.500 0.500 0.500  1.53

---

Calculated DOS(E_F) in order - 3.73 7.10 10.29 4.63 states/eV/cell
Calculated formation energy in order - -42 -19 7 63 kJ/mol of atoms